Material: Ac4TcI6
Method: DFT, PBE
State: optimized geometry

## Properties
Density ... 6.3 Mg/m³
Energy relative to the elements, uncorrected ... -0.978 eV per atom

abc: 10.694 10.694 8.112
angles: 90.00 90.00 90.00
Positions (direct):
Ac 0.023 0.750 0.100
Ac 0.250 0.523 0.400
Ac 0.250 0.977 0.400
Ac 0.477 0.750 0.100
Ac 0.523 0.250 0.900
Ac 0.750 0.023 0.600
Ac 0.750 0.477 0.600
Ac 0.977 0.250 0.900
Tc 0.250 0.750 0.250
Tc 0.750 0.250 0.750
I 0.047 0.547 0.750
I 0.047 0.953 0.750
I 0.250 0.250 0.138
I 0.250 0.250 0.638
I 0.453 0.547 0.750
I 0.453 0.953 0.750
I 0.547 0.047 0.250
I 0.547 0.453 0.250
I 0.750 0.750 0.362
I 0.750 0.750 0.862
I 0.953 0.047 0.250
I 0.953 0.453 0.250

Material: TiCr2In
Method: DFT, PBE
State: optimized geometry

## Properties
ΔH_f (0 K) ... 3.0 eV/f.u.
Density ... 6.5 Mg/m³

abc: 9.628 9.628 9.628
angles: 157.06 157.06 32.66
Positions (direct):
Ti 0.000 0.000 0.000
Ti 0.750 0.250 0.500
Cr 0.050 0.625 0.925
Cr 0.375 0.300 0.425
Cr 0.700 0.125 0.075
Cr 0.875 0.950 0.575
In 0.250 0.750 0.500
In 0.500 0.500 0.000

Asked for Fermi-level density of states across the records above, the calculation gives 7.2; 5.0 states/eV/f.u. in order.